(1)
Below is crystalline LiZrIn4 at its relaxed geometry, with properties calculated at the GGA-PBE level.

a = 8.314 Å, b = 8.314 Å, c = 8.314 Å
α = 90.00°, β = 90.00°, γ = 90.00°
Space group F-43m (No. 216)
One atom of each set of equivalent atoms:
Li  0.000  0.000  0.000
Zr  0.250  0.250  0.750
In  0.125  0.125  0.375

Summary:
Density of states at the Fermi level ... 21.3 states/eV/cell
Energy ... -83.31 eV/cell
DFT formation energy ... 0.10 eV/atom

***

(2)
Below is crystalline LiAgMoCl6 at its relaxed geometry, with properties calculated at the GGA-PBE level.

a = 6.3806 Å, b = 6.3806 Å, c = 11.8190 Å
α = 90.00°, β = 90.00°, γ = 120.00°
Space group P-31c (No. 163)
One atom of each set of equivalent atoms:
Li  0.3333  0.6667  0.2500
Ag  0.0000  0.0000  0.0000
Mo  0.3333  0.6667  0.7500
Cl  0.0176  0.3664  0.6331

Summary:
Density of states at the Fermi level ... 13.9 states/eV/cell
Energy ... -70.65 eV/cell
Formation energy (no corrections) ... -92.70 kJ/mol of atoms

***

(3)
Below is crystalline SrTl4Pb at its relaxed geometry, with properties calculated at the GGA-PBE level.

a = 6.006 Å, b = 7.175 Å, c = 8.937 Å
α = 90.00°, β = 100.39°, γ = 90.00°
Space group P2_1/m (No. 11)
One atom of each set of equivalent atoms:
Sr  0.226  0.250  0.166
Tl  0.024  0.750  0.496
Tl  0.263  0.007  0.822
Tl  0.500  0.000  0.500
Pb  0.254  0.750  0.162

Summary:
Density of states at the Fermi level ... 5.8 states/eV/cell
Energy ... -31.84 eV/cell
DFT formation energy ... -0.18 eV/atom
Offset from the most stable computed form ... 0 meV per atom

***

(4)
Below is crystalline CePmO4 at its relaxed geometry, with properties calculated at the GGA-PBE level.

a = 3.888 Å, b = 3.888 Å, c = 5.615 Å
α = 90.00°, β = 90.00°, γ = 90.00°
Space group P4/mmm (No. 123)
One atom of each set of equivalent atoms:
Ce  0.000  0.000  0.000
Pm  0.500  0.500  0.500
O  0.000  0.500  0.241

Summary:
Density of states at the Fermi level ... 5.9 states/eV/cell
Energy ... -48.74 eV/cell
Formation energy (no corrections) ... -292.96 kJ/mol of atoms

***

(5)
Below is crystalline Ga2PdPtSe at its relaxed geometry, with properties calculated at the GGA-PBE level.

a = 4.719 Å, b = 4.719 Å, c = 5.260 Å
α = 90.00°, β = 90.00°, γ = 90.00°
Space group P4/mmm (No. 123)
One atom of each set of equivalent atoms:
Ga  0.000  0.500  0.000
Pd  0.000  0.000  0.500
Pt  0.500  0.500  0.000
Se  0.500  0.500  0.500

Summary:
Density of states at the Fermi level ... 2.1 states/eV/cell
Energy ... -19.85 eV/cell
Formation energy (no corrections) ... 17.80 kJ/mol of atoms

***

(6)
Below is crystalline MgSbRh2 at its relaxed geometry, with properties calculated at the GGA-PBE level.

a = 7.062 Å, b = 7.062 Å, c = 5.958 Å
α = 90.00°, β = 90.00°, γ = 90.00°
Space group I-42d (No. 122)
One atom of each set of equivalent atoms:
Mg  0.000  0.000  0.000
Sb  0.000  0.000  0.500
Rh  0.234  0.250  0.625

Summary:
Density of states at the Fermi level ... 9.7 states/eV/cell
Energy ... -82.89 eV/cell
Formation energy (no corrections) ... -7.28 kJ/mol of atoms

***

(7)
Below is crystalline ZrOs2Pb at its relaxed geometry, with properties calculated at the GGA-PBE level.

a = 2.966 Å, b = 3.842 Å, c = 6.922 Å
α = 90.00°, β = 90.00°, γ = 90.00°
Space group Pmm2 (No. 25)
One atom of each set of equivalent atoms:
Zr  0.000  0.000  0.000
Os  0.000  0.000  0.386
Os  0.500  0.500  0.244
Pb  0.500  0.500  0.676

Summary:
Density of states at the Fermi level ... 3.1 states/eV/cell
Energy ... -33.60 eV/cell
DFT formation energy ... 0.28 eV/atom

***

(8)
Below is crystalline InW4 at its relaxed geometry, with properties calculated at the GGA-PBE level.

a = 5.944 Å, b = 5.944 Å, c = 5.944 Å
α = 90.00°, β = 90.00°, γ = 90.00°
Space group Im-3m (No. 229)
One atom of each set of equivalent atoms:
In  0.000  0.000  0.000
W  0.250  0.250  0.250

Summary:
Density of states at the Fermi level ... 19.5 states/eV/cell
Energy ... -85.41 eV/cell
DFT formation energy ... 2.37 eV/atom
Offset from the most stable computed form ... 0 meV per atom

***

(9)
Below is crystalline LaCrTc2 at its relaxed geometry, with properties calculated at the GGA-PBE level.

a = 3.174 Å, b = 4.894 Å, c = 9.580 Å
α = 90.00°, β = 90.00°, γ = 90.00°
Space group Imm2 (No. 44)
One atom of each set of equivalent atoms:
La  0.000  0.000  0.000
Cr  0.000  0.500  0.781
Tc  0.000  0.000  0.520
Tc  0.000  0.500  0.231

Summary:
Density of states at the Fermi level ... 9.9 states/eV/cell
Energy ... -66.19 eV/cell
DFT formation energy ... 0.55 eV/atom
Offset from the most stable computed form ... 248 meV per atom

***

(10)
Below is crystalline LiLa2Au4 at its relaxed geometry, with properties calculated at the GGA-PBE level.

a = 4.709 Å, b = 4.709 Å, c = 15.494 Å
α = 90.00°, β = 90.00°, γ = 90.00°
Space group I4/mmm (No. 139)
One atom of each set of equivalent atoms:
Li  0.000  0.000  0.000
La  0.000  0.000  0.358
Au  0.000  0.000  0.163
Au  0.000  0.500  0.000

Summary:
Density of states at the Fermi level ... 7.9 states/eV/cell
Energy ... -57.98 eV/cell
DFT formation energy ... -0.59 eV/atom
Offset from the most stable computed form ... 38 meV per atom

***

(11)
Below is crystalline KSb2TeN at its relaxed geometry, with properties calculated at the GGA-PBE level.

a = 6.068 Å, b = 6.068 Å, c = 6.079 Å
α = 90.00°, β = 90.00°, γ = 90.00°
Space group P4/mmm (No. 123)
One atom of each set of equivalent atoms:
K  0.000  0.000  0.000
Sb  0.000  0.500  0.000
Te  0.000  0.000  0.500
N  0.500  0.500  0.500

Summary:
Density of states at the Fermi level ... 6.4 states/eV/cell
Energy ... -10.67 eV/cell
Formation energy (no corrections) ... 195.74 kJ/mol of atoms
Offset from the most stable computed form ... 1590 meV per atom

***

(12)
Below is crystalline AlGe2Pd at its relaxed geometry, with properties calculated at the GGA-PBE level.

a = 3.959 Å, b = 3.959 Å, c = 17.869 Å
α = 90.00°, β = 90.00°, γ = 90.00°
Space group I-42d (No. 122)
One atom of each set of equivalent atoms:
Al  0.000  0.000  0.000
Ge  0.246  0.250  0.625
Pd  0.000  0.000  0.500

Summary:
Density of states at the Fermi level ... 5.7 states/eV/cell
Energy ... -74.21 eV/cell
DFT formation energy ... -0.10 eV/atom

***

(13)
Below is crystalline La2PmAl4Au3 at its relaxed geometry, with properties calculated at the GGA-PBE level.

a = 4.442 Å, b = 4.442 Å, c = 11.785 Å
α = 90.00°, β = 90.00°, γ = 90.00°
Space group P-4m2 (No. 115)
One atom of each set of equivalent atoms:
La  0.000  0.500  0.230
Pm  0.000  0.000  0.500
Al  0.000  0.000  0.000
Al  0.000  0.500  0.671
Al  0.500  0.500  0.000
Au  0.000  0.500  0.883
Au  0.500  0.500  0.500

Summary:
Density of states at the Fermi level ... 6.7 states/eV/cell
Energy ... -45.56 eV/cell
DFT formation energy ... -0.62 eV/atom

***

(14)
Below is crystalline La2InGaH at its relaxed geometry, with properties calculated at the GGA-PBE level.

a = 5.068 Å, b = 5.068 Å, c = 4.464 Å
α = 90.00°, β = 90.00°, γ = 90.00°
Space group P4/mmm (No. 123)
One atom of each set of equivalent atoms:
La  0.000  0.500  0.000
In  0.000  0.000  0.500
Ga  0.500  0.500  0.500
H  0.500  0.500  0.000

Summary:
Density of states at the Fermi level ... 4.0 states/eV/cell
Energy ... -21.09 eV/cell
Offset from the most stable computed form ... 0 meV per atom

***

(15)
Below is crystalline CoSbCl2 at its relaxed geometry, with properties calculated at the GGA-PBE level.

a = 4.381 Å, b = 4.381 Å, c = 8.540 Å
α = 90.00°, β = 90.00°, γ = 90.00°
Space group I4/mmm (No. 139)
One atom of each set of equivalent atoms:
Co  0.000  0.000  0.000
Sb  0.000  0.000  0.500
Cl  0.000  0.500  0.250

Summary:
Density of states at the Fermi level ... 14.0 states/eV/cell
Energy ... -25.77 eV/cell
Formation energy (no corrections) ... 49.18 kJ/mol of atoms
Offset from the most stable computed form ... 766 meV per atom

***

(16)
Below is crystalline Cs2RbSiF7 at its relaxed geometry, with properties calculated at the GGA-PBE level.

a = 11.691 Å, b = 11.918 Å, c = 6.104 Å
α = 90.00°, β = 90.00°, γ = 90.00°
Space group Cmmm (No. 65)
One atom of each set of equivalent atoms:
Cs  0.000  0.196  0.000
Cs  0.250  0.250  0.500
Rb  0.196  0.500  0.000
Si  0.000  0.000  0.500
Si  0.000  0.500  0.500
F  0.000  0.144  0.500
F  0.000  0.399  0.299
F  0.104  0.000  0.299
F  0.147  0.500  0.500
F  0.250  0.250  0.000

Summary:
Density of states at the Fermi level ... 0.0 states/eV/cell
Energy ... -219.69 eV/cell
Formation energy (no corrections) ... -295.82 kJ/mol of atoms

***

(17)
Below is crystalline LiYMnGe2 at its relaxed geometry, with properties calculated at the GGA-PBE level.

a = 5.225 Å, b = 5.225 Å, c = 4.733 Å
α = 90.00°, β = 90.00°, γ = 90.00°
Space group P4/mmm (No. 123)
One atom of each set of equivalent atoms:
Li  0.000  0.000  0.000
Y  0.500  0.500  0.500
Mn  0.500  0.500  0.000
Ge  0.000  0.500  0.500

Summary:
Density of states at the Fermi level ... 5.1 states/eV/cell
Energy ... -21.02 eV/cell
DFT formation energy ... 1.15 eV/atom

***

(18)
Below is crystalline NaInCuSn at its relaxed geometry, with properties calculated at the GGA-PBE level.

a = 6.996 Å, b = 6.996 Å, c = 6.996 Å
α = 90.00°, β = 90.00°, γ = 90.00°
Space group F-43m (No. 216)
One atom of each set of equivalent atoms:
Na  0.000  0.000  0.000
In  0.250  0.250  0.750
Cu  0.000  0.000  0.500
Sn  0.250  0.250  0.250

Summary:
Density of states at the Fermi level ... 7.2 states/eV/cell
Energy ... -47.38 eV/cell
DFT formation energy ... 0.08 eV/atom

***

(19)
Below is crystalline EuGdSc2 at its relaxed geometry, with properties calculated at the GGA-PBE level.

a = 7.769 Å, b = 7.769 Å, c = 7.769 Å
α = 90.00°, β = 90.00°, γ = 90.00°
Space group Fm-3m (No. 225)
One atom of each set of equivalent atoms:
Eu  0.000  0.000  0.000
Gd  0.000  0.000  0.500
Sc  0.250  0.250  0.250

Summary:
Density of states at the Fermi level ... 25.4 states/eV/cell
Energy ... -145.35 eV/cell
DFT formation energy ... 0.17 eV/atom
Offset from the most stable computed form ... 16 meV per atom

***

(20)
Below is crystalline DyHo2ErSc2 at its relaxed geometry, with properties calculated at the GGA-PBE level.

a = 6.812 Å, b = 9.357 Å, c = 5.423 Å
α = 90.00°, β = 90.00°, γ = 90.00°
Space group Pnnm (No. 58)
One atom of each set of equivalent atoms:
Dy  0.000  0.000  0.000
Ho  0.249  0.334  0.000
Er  0.000  0.500  0.500
Sc  0.250  0.167  0.500

Summary:
Density of states at the Fermi level ... 24.1 states/eV/cell
Energy ... -61.09 eV/cell
DFT formation energy ... 0.07 eV/atom

***

(21)
Below is crystalline BeP2SO at its relaxed geometry, with properties calculated at the GGA-PBE level.

a = 4.640 Å, b = 4.640 Å, c = 3.046 Å
α = 90.00°, β = 90.00°, γ = 90.00°
Space group P4/mmm (No. 123)
One atom of each set of equivalent atoms:
Be  0.000  0.000  0.000
P  0.000  0.500  0.000
S  0.500  0.500  0.500
O  0.000  0.000  0.500

Summary:
Density of states at the Fermi level ... 2.4 states/eV/cell
Energy ... -22.97 eV/cell
Formation energy (no corrections) ... 12.69 kJ/mol of atoms
Offset from the most stable computed form ... 0 meV per atom

***

(22)
Below is crystalline LiReGeMo at its relaxed geometry, with properties calculated at the GGA-PBE level.

a = 6.105 Å, b = 6.105 Å, c = 6.105 Å
α = 90.00°, β = 90.00°, γ = 90.00°
Space group F-43m (No. 216)
One atom of each set of equivalent atoms:
Li  0.000  0.000  0.000
Re  0.000  0.000  0.500
Ge  0.250  0.250  0.750
Mo  0.250  0.250  0.250

Summary:
Density of states at the Fermi level ... 2.2 states/eV/cell
Energy ... -120.70 eV/cell
DFT formation energy ... -0.09 eV/atom

***

(23)
Below is crystalline CeHI3 at its relaxed geometry, with properties calculated at the GGA-PBE level.

a = 10.777 Å, b = 9.681 Å, c = 7.840 Å
α = 90.00°, β = 122.36°, γ = 90.00°
Space group C2/m (No. 12)
One atom of each set of equivalent atoms:
Ce  0.127  0.000  0.385
H  0.080  0.000  0.624
I  0.076  0.315  0.298
I  0.190  0.000  0.040

Summary:
Energy ... -71.91 eV/cell
Offset from the most stable computed form ... 0 meV per atom

***

(24)
Below is crystalline Mn2TcAgAu at its relaxed geometry, with properties calculated at the GGA-PBE level.

a = 4.598 Å, b = 4.598 Å, c = 4.884 Å
α = 90.00°, β = 90.00°, γ = 90.00°
Space group P4/mmm (No. 123)
One atom of each set of equivalent atoms:
Mn  0.000  0.500  0.000
Tc  0.000  0.000  0.500
Ag  0.500  0.500  0.500
Au  0.500  0.500  0.000

Summary:
Density of states at the Fermi level ... 13.3 states/eV/cell
Energy ... -23.01 eV/cell
DFT formation energy ... 2.37 eV/atom

***

(25)
Below is crystalline BeFe2Ir at its relaxed geometry, with properties calculated at the GGA-PBE level.

a = 2.894 Å, b = 3.867 Å, c = 4.151 Å
α = 90.00°, β = 90.00°, γ = 90.00°
Space group Pmmm (No. 47)
One atom of each set of equivalent atoms:
Be  0.000  0.000  0.000
Fe  0.000  0.500  0.500
Fe  0.500  0.000  0.500
Ir  0.500  0.500  0.000

Summary:
Density of states at the Fermi level ... 4.8 states/eV/cell
Energy ... -30.15 eV/cell
DFT formation energy ... -0.16 eV/atom